DFT (PBE) results for Ti2CoIr2 after structural relaxation.

Lattice parameters (Å, degrees): 6.115 6.115 6.115 141.42 141.42 55.70
Fractional positions:
Ti (0.250, 0.750, 0.500)
Ti (0.750, 0.250, 0.500)
Co (0.000, 0.000, 0.000)
Ir (0.385, 0.385, 0.000)
Ir (0.615, 0.615, 0.000)

Properties
The density of states at the Fermi level comes out at 5.81 states/eV/f.u. The volume is 88.2 Å³/cell. Its excess energy over the best structure of this formula in the dataset is 322.9 meV/atom. The final energy is -8.1589 eV/atom. Its space-group type is No. 139.